Crystalline TbTh2Os at its relaxed geometry, computed with GGA-PBE.

```
TbTh2Os
1.0
3.652 0.000 0.000
0.000 3.652 0.000
0.000 0.000 8.240
Tb Th Os
1 2 1
Cartesian
0.000 0.000 0.000
1.826 1.826 2.471
1.826 1.826 5.769
0.000 0.000 4.120
```

Results
Its crystal system is tetragonal. The value obtained for the final energy is -7.6714 eV per atom. As for the space group: P4/mmm (123). For the density of states at the Fermi level, the calculation gives 1.85 states/eV per atom. As for the energy above the most stable polymorph in this dataset: 228 meV/atom.